1.
Compound: BaPmCuAg
Source: the Alexandria database
Functional: PBE
Structure: relaxed

a b c (Å): 5.435 5.435 5.435
angles (deg): 60.00 60.00 60.00
Atoms (fractional coordinates):
Ag 0.750 0.750 0.750
Ba 0.500 0.500 0.500
Cu 0.250 0.250 0.250
Pm 0.000 0.000 0.000

Properties
- D(E_F) (states/eV per atom) = 1.24
- total DFT energy (no corrections) (eV/atom) = -3.40

---

2.
Compound: Ti2BeInB
Source: the Alexandria database
Functional: PBE
Structure: relaxed

a b c (Å): 4.317 4.315 4.317
angles (deg): 90.00 90.00 90.00
Atoms (fractional coordinates):
B 0.500 0.500 0.500
Ti 0.000 0.000 0.500
Ti 0.500 0.000 0.000
Be 0.000 0.000 0.000
In 0.000 0.500 0.000

Properties
- D(E_F) (states/eV per atom) = 0.52
- total DFT energy (no corrections) (eV/atom) = -4.92

---

3.
Compound: La2Ga2Se
Source: the Alexandria database
Functional: PBE
Structure: relaxed

a b c (Å): 5.268 5.268 5.483
angles (deg): 90.00 90.00 90.00
Each line ends with the local moment (μB).
Atoms (fractional coordinates):
Ga 0.500 0.000 0.000  -0.01
Ga 0.000 0.500 0.000  -0.01
La 0.500 0.500 0.500  0.07
La 0.000 0.000 0.500  0.06
Se 0.000 0.000 0.000  -0.01

Properties
- ΔE to the lowest computed polymorph (meV per atom) = 1088.9
- D(E_F) (states/eV per atom) = 0.85
- total DFT energy (no corrections) (eV/atom) = -4.05
- E_form (uncorrected) (kJ/mol of atoms) = -16

---

Q: What is the formula in the second record?
A: Ti2BeInB